{
  "formula": "SrAc3",
  "functional": "meta-GGA SCAN",
  "state": "PBEsol geometry",
  "cell": [[6.379, 0.000, 0.000], [0.000, 7.967, 0.000], [0.000, -3.984, 6.900]],
  "species": ["Ac", "Ac", "Ac", "Sr", "Ac", "Sr", "Ac", "Ac"],
  "fractional_positions": [[0.750, 0.836, 0.164], [0.250, 0.673, 0.836], [0.250, 0.164, 0.327], [0.250, 0.667, 0.333], [0.250, 0.164, 0.836], [0.750, 0.333, 0.667], [0.750, 0.836, 0.673], [0.750, 0.327, 0.164]],
  "spacegroup": "P6_3/mmc, No. 194"
}

---

{
  "formula": "SrAcZn2",
  "functional": "meta-GGA SCAN",
  "state": "PBEsol geometry",
  "cell": [[-4.517, -2.338, -1.856], [-0.161, -5.359, -0.753], [-2.985, -3.106, 3.280]],
  "species": ["Zn", "Sr", "Zn", "Ac"],
  "fractional_positions": [[0.250, 0.250, 0.250], [0.000, 0.000, 0.000], [0.750, 0.750, 0.750], [0.500, 0.500, 0.500]],
  "spacegroup": "Fm-3m, No. 225"
}

---

{
  "formula": "Ac3Tb",
  "functional": "meta-GGA SCAN",
  "state": "PBEsol geometry",
  "cell": [[6.141, 0.000, 0.000], [0.000, 7.666, 0.000], [0.000, -3.833, 6.639]],
  "species": ["Ac", "Ac", "Tb", "Tb", "Ac", "Ac", "Ac", "Ac"],
  "fractional_positions": [[0.750, 0.831, 0.169], [0.250, 0.169, 0.338], [0.750, 0.333, 0.667], [0.250, 0.667, 0.333], [0.250, 0.662, 0.831], [0.250, 0.169, 0.831], [0.750, 0.338, 0.169], [0.750, 0.831, 0.662]],
  "spacegroup": "P6_3/mmc, No. 194"
}

---

{
  "formula": "Ac3Tm",
  "functional": "meta-GGA SCAN",
  "state": "PBEsol geometry",
  "cell": [[-3.114, 2.447, -4.644], [3.294, -4.950, -4.817], [-6.582, -1.824, 3.452]],
  "species": ["Ac", "Tm", "Ac", "Ac", "Tm", "Ac", "Ac", "Ac"],
  "fractional_positions": [[0.250, 0.660, 0.830], [0.750, 0.333, 0.667], [0.750, 0.340, 0.170], [0.750, 0.830, 0.660], [0.250, 0.667, 0.333], [0.250, 0.170, 0.830], [0.250, 0.170, 0.340], [0.750, 0.830, 0.170]],
  "spacegroup": "P6_3/mmc, No. 194"
}

---

Going through the records in order, we get final energy values of -73.335 -35.217 -79.503 -80.763 eV/atom.
Going through the records in order, we get ΔH_f (0 K) values of 0.09 -0.27 0.04 0.05 eV/atom.